one.
This record from the Alexandria database describes an optimized crystal structure of BaCo3Tc. The functional is GGA-PBE.

Unit cell a=4.6441 b=4.6441 c=4.6441 alpha=90.00 beta=90.00 gamma=90.00
Site moments in Bohr magnetons follow the coordinates.
Atoms (fractional coordinates):
Co 0.0000 0.5000 0.0000  0.96
Co 0.0000 0.0000 0.5000  1.20
Co 0.5000 0.0000 0.0000  0.77
Ba 0.5000 0.5000 0.5000  -0.04
Tc 0.0000 0.0000 0.0000  0.04

Summary:
density = 6.832 g/cm³

---

two.
This record from the Alexandria database describes an optimized crystal structure of BaCo3Tc. The functional is GGA-PBE.

Unit cell a=4.7475 b=4.7475 c=4.7475 alpha=90.00 beta=90.00 gamma=90.00
Site moments in Bohr magnetons follow the coordinates.
Atoms (fractional coordinates):
Co 0.0000 0.5000 0.0000  1.11
Co 0.0000 0.0000 0.5000  1.03
Co 0.5000 0.0000 0.0000  1.29
Ba 0.0000 0.0000 0.0000  -0.19
Tc 0.5000 0.5000 0.5000  3.00

Summary:
density = 6.396 g/cm³

---

Short version: one is the most stable of them.

---

one.
This record from the Alexandria database describes an optimized crystal structure of BaCo3Te. The functional is GGA-PBE.

Unit cell a=4.8237 b=4.8237 c=4.8237 alpha=90.00 beta=90.00 gamma=90.00
Site moments in Bohr magnetons follow the coordinates.
Atoms (fractional coordinates):
Te 0.0000 0.0000 0.0000  -0.01
Co 0.0000 0.5000 0.0000  1.19
Co 0.0000 0.0000 0.5000  1.09
Co 0.5000 0.0000 0.0000  1.38
Ba 0.5000 0.5000 0.5000  -0.12

Summary:
density = 6.535 g/cm³

---

two.
This record from the Alexandria database describes an optimized crystal structure of BaCo3Te. The functional is GGA-PBE.

Unit cell a=4.9398 b=4.9398 c=4.9398 alpha=90.00 beta=90.00 gamma=90.00
Site moments in Bohr magnetons follow the coordinates.
Atoms (fractional coordinates):
Te 0.5000 0.5000 0.5000  0.07
Co 0.0000 0.5000 0.0000  1.29
Co 0.0000 0.0000 0.5000  1.17
Co 0.5000 0.0000 0.0000  1.39
Ba 0.0000 0.0000 0.0000  -0.19

Summary:
density = 6.085 g/cm³

---

Short version: one is the most stable of them.